# Tb8Mg2Co (PBE-GGA, relaxed)
data_Tb8Mg2Co
_chemical_formula_sum 'Tb8 Mg2 Co1'
_cell_length_a 9.115
_cell_length_b 9.115
_cell_length_c 6.942
_cell_angle_alpha 110.55
_cell_angle_beta 110.55
_cell_angle_gamma 35.53
_space_group_name_H-M_alt 'P 1'
_space_group_IT_number 1
_space_group_name_Hall 'P 1'
loop_
_atom_site_label
_atom_site_type_symbol
_atom_site_fract_x
_atom_site_fract_y
_atom_site_fract_z
Tb1 Tb 0.012 0.012 0.275
Tb2 Tb 0.195 0.195 0.743
Tb3 Tb 0.363 0.363 0.584
Tb4 Tb 0.399 0.399 0.104
Tb5 Tb 0.601 0.601 0.896
Tb6 Tb 0.637 0.637 0.416
Tb7 Tb 0.805 0.805 0.257
Tb8 Tb 0.988 0.988 0.725
Mg1 Mg 0.184 0.184 0.195
Mg2 Mg 0.816 0.816 0.805
Co1 Co 0.500 0.500 0.500
# Space group: C2/m


# Tb2MgCo (PBE-GGA, relaxed)
data_Tb2MgCo
_chemical_formula_sum 'Tb2 Mg1 Co1'
_cell_length_a 3.760
_cell_length_b 3.760
_cell_length_c 8.810
_cell_angle_alpha 102.49
_cell_angle_beta 102.49
_cell_angle_gamma 60.22
_space_group_name_H-M_alt 'P 1'
_space_group_IT_number 1
_space_group_name_Hall 'P 1'
loop_
_atom_site_label
_atom_site_type_symbol
_atom_site_fract_x
_atom_site_fract_y
_atom_site_fract_z
Tb1 Tb 0.000 0.000 0.000
Tb2 Tb 0.546 0.546 0.640
Mg1 Mg 0.772 0.772 0.320
Co1 Co 0.273 0.273 0.820
# Space group: Cm


| no. | ΔE_f (meV per atom) | raw total energy (eV per cell) |
| --- | --- | --- |
| 1 | -6 | -47.405 |
| 2 | -22 | -18.049 |